## HfV2P2 (PBE)

Data for a relaxed HfV2P2 crystal.

Cell lengths 6.742, 6.742, 3.154 Å; angles 90.00, 90.00, 90.00 degrees
Positions (direct):
V 0.643 0.857 0.500
V 0.143 0.643 0.500
V 0.857 0.357 0.500
V 0.357 0.143 0.500
Hf 0.000 0.000 0.000
Hf 0.500 0.500 0.000
P 0.359 0.859 0.000
P 0.141 0.359 0.000
P 0.859 0.641 0.000
P 0.641 0.141 0.000

Properties
The crystal system is tetragonal. The value obtained for the magnetization is 0.00 Bohr magnetons per cell. Its calculated total energy is -8.528 eV per atom.

---

## Hf2VP2 (PBE)

Data for a relaxed Hf2VP2 crystal.

Cell lengths 6.542, 6.542, 3.668 Å; angles 90.00, 90.00, 90.00 degrees
Positions (direct):
Hf 0.335 0.165 0.500
Hf 0.665 0.835 0.500
Hf 0.835 0.335 0.500
Hf 0.165 0.665 0.500
P 0.642 0.142 0.000
P 0.858 0.642 0.000
P 0.358 0.858 0.000
P 0.142 0.358 0.000
V 0.000 0.000 0.000
V 0.500 0.500 0.000

Properties
The crystal system is tetragonal. The value obtained for the magnetization is 0.00 Bohr magnetons per cell. Its calculated total energy is -8.952 eV per atom.

---

The records above give, respectively, ρ values of 7.930, 9.942 Mg/m³.